1.
VASP calculation (PBE) on an optimized crystal structure of NiSbRh3.

Structure (CIF):
```
data_NiSbRh3
_symmetry_space_group_name_H-M 'P m -3 m'
_symmetry_Int_Tables_number 221
_symmetry_space_group_name_Hall '-P 4 2 3'
_cell_length_a 4.493
_cell_length_b 4.493
_cell_length_c 4.493
_cell_angle_alpha 90.00
_cell_angle_beta 90.00
_cell_angle_gamma 90.00
loop_
_atom_site_label
_atom_site_fract_x
_atom_site_fract_y
_atom_site_fract_z
Ni1 0.000 0.000 0.000
Sb1 0.500 0.500 0.500
Rh1 0.000 0.000 0.500
```

=====

2.
VASP calculation (PBE) on an optimized crystal structure of Ni4SbRh.

Structure (CIF):
```
data_Ni4SbRh
_symmetry_space_group_name_H-M 'F -4 3 m'
_symmetry_Int_Tables_number 216
_symmetry_space_group_name_Hall 'F -4 2 3'
_cell_length_a 6.777
_cell_length_b 6.777
_cell_length_c 6.777
_cell_angle_alpha 90.00
_cell_angle_beta 90.00
_cell_angle_gamma 90.00
loop_
_atom_site_label
_atom_site_fract_x
_atom_site_fract_y
_atom_site_fract_z
Ni1 0.124 0.124 0.376
Sb1 0.000 0.000 0.000
Rh1 0.250 0.250 0.750
```

=====

3.
VASP calculation (PBE) on an optimized crystal structure of NiSbRh2.

Structure (CIF):
```
data_NiSbRh2
_symmetry_space_group_name_H-M 'P 1 2/m 1'
_symmetry_Int_Tables_number 10
_cell_length_a 2.946
_cell_length_b 4.461
_cell_length_c 4.701
_cell_angle_alpha 90.00
_cell_angle_beta 92.00
_cell_angle_gamma 90.00
loop_
_symmetry_equiv_pos_as_xyz
'x,y,z'
'-x,-y,-z'
'-x,y,-z'
'x,-y,z'
loop_
_atom_site_label
_atom_site_fract_x
_atom_site_fract_y
_atom_site_fract_z
Ni1 0.000 0.000 0.000
Sb1 0.500 0.000 0.500
Rh1 0.241 0.500 0.759
```

=====

4.
VASP calculation (PBE) on an optimized crystal structure of Ni2Sb2Rh.

Structure (CIF):
```
data_Ni2Sb2Rh
_symmetry_space_group_name_H-M 'P 4/m b m'
_symmetry_Int_Tables_number 127
_symmetry_space_group_name_Hall '-P 4 2ab'
_cell_length_a 7.099
_cell_length_b 7.099
_cell_length_c 3.304
_cell_angle_alpha 90.00
_cell_angle_beta 90.00
_cell_angle_gamma 90.00
loop_
_atom_site_label
_atom_site_fract_x
_atom_site_fract_y
_atom_site_fract_z
Ni1 0.129 0.371 0.000
Sb1 0.164 0.664 0.500
Rh1 0.000 0.000 0.500
```

=====

5.
VASP calculation (PBE) on an optimized crystal structure of ScNiSb2Rh.

Structure (CIF):
```
data_ScNiSb2Rh
_symmetry_space_group_name_H-M 'P 4/m m m'
_symmetry_Int_Tables_number 123
_symmetry_space_group_name_Hall '-P 4 2'
_cell_length_a 5.065
_cell_length_b 5.065
_cell_length_c 4.800
_cell_angle_alpha 90.00
_cell_angle_beta 90.00
_cell_angle_gamma 90.00
loop_
_atom_site_label
_atom_site_fract_x
_atom_site_fract_y
_atom_site_fract_z
Sc1 0.000 0.000 0.000
Ni1 0.500 0.500 0.000
Sb1 0.000 0.500 0.500
Rh1 0.000 0.000 0.500
```

=====

6.
VASP calculation (PBE) on an optimized crystal structure of Sm2NiSb3Rh4.

Structure (CIF):
```
data_Sm2NiSb3Rh4
_symmetry_space_group_name_H-M 'P -4 m 2'
_symmetry_Int_Tables_number 115
_cell_length_a 4.302
_cell_length_b 4.302
_cell_length_c 10.929
_cell_angle_alpha 90.00
_cell_angle_beta 90.00
_cell_angle_gamma 90.00
loop_
_symmetry_equiv_pos_as_xyz
'x,y,z'
'y,-x,-z'
'-x,-y,z'
'-y,x,-z'
'-x,y,z'
'-y,-x,-z'
'x,-y,z'
'y,x,-z'
loop_
_atom_site_label
_atom_site_fract_x
_atom_site_fract_y
_atom_site_fract_z
Sm1 0.000 0.500 0.232
Ni1 0.500 0.500 0.000
Sb1 0.000 0.000 0.000
Sb2 0.000 0.500 0.638
Rh1 0.000 0.000 0.500
Rh2 0.000 0.500 0.870
Rh3 0.500 0.500 0.500
```

=====

7.
VASP calculation (PBE) on an optimized crystal structure of Sm2NiSb4Rh3.

Structure (CIF):
```
data_Sm2NiSb4Rh3
_symmetry_space_group_name_H-M 'P -4 m 2'
_symmetry_Int_Tables_number 115
_cell_length_a 4.508
_cell_length_b 4.508
_cell_length_c 10.481
_cell_angle_alpha 90.00
_cell_angle_beta 90.00
_cell_angle_gamma 90.00
loop_
_symmetry_equiv_pos_as_xyz
'x,y,z'
'y,-x,-z'
'-x,-y,z'
'-y,x,-z'
'-x,y,z'
'-y,-x,-z'
'x,-y,z'
'y,x,-z'
loop_
_atom_site_label
_atom_site_fract_x
_atom_site_fract_y
_atom_site_fract_z
Sm1 0.000 0.500 0.237
Ni1 0.500 0.500 0.000
Sb1 0.000 0.000 0.500
Sb2 0.000 0.500 0.873
Sb3 0.500 0.500 0.500
Rh1 0.000 0.000 0.000
Rh2 0.000 0.500 0.628
```

=====

8.
VASP calculation (PBE) on an optimized crystal structure of Sm2Ni4Sb3Rh.

Structure (CIF):
```
data_Sm2Ni4Sb3Rh
_symmetry_space_group_name_H-M 'P -4 m 2'
_symmetry_Int_Tables_number 115
_cell_length_a 4.228
_cell_length_b 4.228
_cell_length_c 10.505
_cell_angle_alpha 90.00
_cell_angle_beta 90.00
_cell_angle_gamma 90.00
loop_
_symmetry_equiv_pos_as_xyz
'x,y,z'
'y,-x,-z'
'-x,-y,z'
'-y,x,-z'
'-x,y,z'
'-y,-x,-z'
'x,-y,z'
'y,x,-z'
loop_
_atom_site_label
_atom_site_fract_x
_atom_site_fract_y
_atom_site_fract_z
Sm1 0.000 0.500 0.245
Ni1 0.000 0.000 0.500
Ni2 0.000 0.500 0.865
Ni3 0.500 0.500 0.500
Sb1 0.000 0.000 0.000
Sb2 0.000 0.500 0.631
Rh1 0.500 0.500 0.000
```

=====

9.
VASP calculation (PBE) on an optimized crystal structure of Sr2Ni3Sb4Rh.

Structure (CIF):
```
data_Sr2Ni3Sb4Rh
_symmetry_space_group_name_H-M 'P -4 m 2'
_symmetry_Int_Tables_number 115
_cell_length_a 4.571
_cell_length_b 4.571
_cell_length_c 10.289
_cell_angle_alpha 90.00
_cell_angle_beta 90.00
_cell_angle_gamma 90.00
loop_
_symmetry_equiv_pos_as_xyz
'x,y,z'
'y,-x,-z'
'-x,-y,z'
'-y,x,-z'
'-x,y,z'
'-y,-x,-z'
'x,-y,z'
'y,x,-z'
loop_
_atom_site_label
_atom_site_fract_x
_atom_site_fract_y
_atom_site_fract_z
Sr1 0.000 0.500 0.245
Ni1 0.000 0.000 0.000
Ni2 0.000 0.500 0.622
Sb1 0.000 0.000 0.500
Sb2 0.000 0.500 0.872
Sb3 0.500 0.500 0.500
Rh1 0.500 0.500 0.000
```

=====

10.
VASP calculation (PBE) on an optimized crystal structure of NiSbTe2Rh.

Structure (CIF):
```
data_NiSbTe2Rh
_symmetry_space_group_name_H-M 'P 4/m m m'
_symmetry_Int_Tables_number 123
_symmetry_space_group_name_Hall '-P 4 2'
_cell_length_a 5.293
_cell_length_b 5.293
_cell_length_c 4.935
_cell_angle_alpha 90.00
_cell_angle_beta 90.00
_cell_angle_gamma 90.00
loop_
_atom_site_label
_atom_site_fract_x
_atom_site_fract_y
_atom_site_fract_z
Ni1 0.000 0.000 0.000
Sb1 0.500 0.500 0.000
Te1 0.000 0.500 0.500
Rh1 0.500 0.500 0.500
```

=====

11.
VASP calculation (PBE) on an optimized crystal structure of NiSbTe2Rh.

Structure (CIF):
```
data_NiSbTe2Rh
_symmetry_space_group_name_H-M 'P 4/m m m'
_symmetry_Int_Tables_number 123
_symmetry_space_group_name_Hall '-P 4 2'
_cell_length_a 5.018
_cell_length_b 5.018
_cell_length_c 4.762
_cell_angle_alpha 90.00
_cell_angle_beta 90.00
_cell_angle_gamma 90.00
loop_
_atom_site_label
_atom_site_fract_x
_atom_site_fract_y
_atom_site_fract_z
Ni1 0.000 0.000 0.000
Sb1 0.000 0.000 0.500
Te1 0.000 0.500 0.000
Rh1 0.500 0.500 0.500
```

=====

12.
VASP calculation (PBE) on an optimized crystal structure of TiNiSb2Rh.

Structure (CIF):
```
data_TiNiSb2Rh
_symmetry_space_group_name_H-M 'P 4/m m m'
_symmetry_Int_Tables_number 123
_symmetry_space_group_name_Hall '-P 4 2'
_cell_length_a 5.126
_cell_length_b 5.126
_cell_length_c 4.302
_cell_angle_alpha 90.00
_cell_angle_beta 90.00
_cell_angle_gamma 90.00
loop_
_atom_site_label
_atom_site_fract_x
_atom_site_fract_y
_atom_site_fract_z
Ti1 0.000 0.000 0.000
Ni1 0.000 0.000 0.500
Sb1 0.000 0.500 0.000
Rh1 0.500 0.500 0.500
```

=====

Calculated values (meV/atom) of raw formation energy for the records, taken in order: 798 39 36 -28 345 -703 -724 -580 -575 741 610 817.
Calculated values (μB per formula unit) of size of the total moment for the records, taken in order: 1.30 1.78 0.00 0.00 0.01 0.00 0.00 0.00 0.00 0.84 0.00 0.00.